Entry 1:
VASP calculation (PBE) on a relaxed LiAg3Au crystal.

## Properties
final energy	-2.9058	eV/atom
relative energy among the computed polymorphs	0.00	eV per formula unit

Unit cell a=5.0198 b=5.6043 c=12.8347 alpha=106.73 beta=90.00 gamma=90.00
With the nearest neighbours (Å) after each atom.
Positions (direct):
Ag1 0.0898 0.8518 0.7994  2 Au 2.85-2.90, 7 Ag 2.88-2.93, 3 Li 2.90-2.93
Au1 0.9127 0.9655 0.6079  3 Li 2.80-2.86, 8 Ag 2.85-3.02, 1 Au 3.03
Li1 0.4192 0.1466 0.6980  3 Au 2.80-2.86, 7 Ag 2.84-2.93, 2 Li 2.92
Li2 0.0808 0.6466 0.1980  3 Au 2.80-2.86, 7 Ag 2.84-2.93, 2 Li 2.92
Ag2 0.0897 0.4458 0.6016  3 Au 2.86-3.02, 2 Li 2.88-2.90, 7 Ag 2.88-2.98
Ag3 0.5897 0.0542 0.8984  3 Au 2.86-3.02, 2 Li 2.88-2.90, 7 Ag 2.88-2.98
Au2 0.5873 0.4655 0.1079  3 Li 2.80-2.86, 8 Ag 2.85-3.02, 1 Au 3.03
Ag4 0.9119 0.7468 0.9992  2 Li 2.84-2.89, 3 Au 2.89-2.95, 7 Ag 2.90-2.97
Ag5 0.5881 0.2468 0.4992  2 Li 2.84-2.89, 3 Au 2.89-2.95, 7 Ag 2.90-2.97
Ag6 0.9102 0.1482 0.2006  2 Au 2.85-2.90, 7 Ag 2.88-2.93, 3 Li 2.90-2.93
Li3 0.5808 0.8534 0.3020  3 Au 2.80-2.86, 7 Ag 2.84-2.93, 2 Li 2.92
Ag7 0.4119 0.7532 0.5008  2 Li 2.84-2.89, 3 Au 2.89-2.95, 7 Ag 2.90-2.97
Li4 0.9192 0.3534 0.8020  3 Au 2.80-2.86, 7 Ag 2.84-2.93, 2 Li 2.92
Ag8 0.9103 0.5542 0.3984  3 Au 2.86-3.02, 2 Li 2.88-2.90, 7 Ag 2.88-2.98
Au3 0.4127 0.5345 0.8921  3 Li 2.80-2.86, 8 Ag 2.85-3.02, 1 Au 3.03
Ag9 0.4103 0.9458 0.1016  3 Au 2.86-3.02, 2 Li 2.88-2.90, 7 Ag 2.88-2.98
Ag10 0.4102 0.3518 0.2994  2 Au 2.85-2.90, 7 Ag 2.88-2.93, 3 Li 2.90-2.93
Ag11 0.5898 0.6482 0.7006  2 Au 2.85-2.90, 7 Ag 2.88-2.93, 3 Li 2.90-2.93
Ag12 0.0881 0.2532 0.0008  2 Li 2.84-2.89, 3 Au 2.89-2.95, 7 Ag 2.90-2.97
Au4 0.0873 0.0345 0.3921  3 Li 2.80-2.86, 8 Ag 2.85-3.02, 1 Au 3.03

---

Entry 2:
VASP calculation (PBE) on a relaxed Li2Ag2Au7 crystal.

## Properties
final energy	-3.1324	eV/atom
relative energy among the computed polymorphs	0.14	eV per formula unit

Unit cell a=5.1656 b=6.5844 c=6.5844 alpha=94.28 beta=73.73 gamma=73.73
With the nearest neighbours (Å) after each atom.
Positions (direct):
Li1 0.5000 0.8095 0.1905  6 Au 2.70-2.83
Au1 0.1889 0.0740 0.5825  2 Li 2.70-2.78, 6 Au 2.76-2.93, 1 Ag 2.94
Li2 0.5000 0.1905 0.8095  6 Au 2.70-2.83
Au2 0.8111 0.9260 0.4175  2 Li 2.70-2.78, 6 Au 2.76-2.93, 1 Ag 2.94
Ag1 0.1536 0.6058 0.6058  7 Au 2.82-3.15, 1 Ag 2.93
Au3 0.1889 0.5825 0.0740  2 Li 2.70-2.78, 6 Au 2.76-2.93, 1 Ag 2.94
Ag2 0.8464 0.3942 0.3942  7 Au 2.82-3.15, 1 Ag 2.93
Au4 0.0000 0.0000 0.0000  6 Au 2.78-2.79
Au5 0.5465 0.7500 0.7500  5 Au 2.76-2.91, 3 Ag 2.82-2.91, 2 Li 2.83
Au6 0.4535 0.2500 0.2500  5 Au 2.76-2.91, 3 Ag 2.82-2.91, 2 Li 2.83
Au7 0.8111 0.4175 0.9260  2 Li 2.70-2.78, 6 Au 2.76-2.93, 1 Ag 2.94

---

Entry 3:
VASP calculation (PBE) on a relaxed Li5Ag2Au2 crystal.

## Properties
final energy	-2.6807	eV/atom

Unit cell a=7.2170 b=6.3668 c=7.4961 alpha=115.13 beta=90.00 gamma=90.00
With the nearest neighbours (Å) after each atom.
Positions (direct):
Li1 0.8299 0.8072 0.2936  3 Au 2.59-2.69, 2 Ag 2.71-2.74
Li2 0.0000 0.0000 0.0000  4 Ag 2.57-2.67, 2 Au 2.71
Au1 0.0000 0.1995 0.3990  7 Li 2.59-2.71
Li3 0.6701 0.0136 0.7064  3 Au 2.59-2.69, 2 Ag 2.71-2.74
Ag1 0.6500 0.8659 0.0000  6 Li 2.57-2.74, 1 Ag 2.76
Li4 0.5000 0.5000 0.0000  4 Ag 2.57-2.67, 2 Au 2.71
Ag2 0.3500 0.1341 0.0000  6 Li 2.57-2.74, 1 Ag 2.76
Li5 0.1701 0.4864 0.2936  3 Au 2.59-2.69, 2 Ag 2.71-2.74
Li6 0.3299 0.9864 0.2936  3 Au 2.59-2.69, 2 Ag 2.71-2.74
Li7 0.3299 0.6928 0.7064  3 Au 2.59-2.69, 2 Ag 2.71-2.74
Li8 0.1701 0.1928 0.7064  3 Au 2.59-2.69, 2 Ag 2.71-2.74
Li9 0.6701 0.3072 0.2936  3 Au 2.59-2.69, 2 Ag 2.71-2.74
Au2 0.5000 0.3005 0.6010  7 Li 2.59-2.71
Ag3 0.8500 0.3659 0.0000  6 Li 2.57-2.74, 1 Ag 2.76
Au3 0.5000 0.6995 0.3990  7 Li 2.59-2.71
Ag4 0.1500 0.6341 0.0000  6 Li 2.57-2.74, 1 Ag 2.76
Au4 0.0000 0.8005 0.6010  7 Li 2.59-2.71
Li10 0.8299 0.5136 0.7064  3 Au 2.59-2.69, 2 Ag 2.71-2.74

---

The E_form results, record by record, are as follows: -0.78; -1.98; -2.30 eV per formula unit.